No. 1
The following is a DFT calculation (GGA-PBE) of a geometry-optimized BaPrAs2Pd5 structure.

Results
The energy of formation from the pure elements is -0.627 eV/atom. Its space group is P4/mmm (123). The density of states at the Fermi level comes out at 3.09 states/eV/cell.

Cell: 4.6801 4.6801 8.5937 Å, 90.00 90.00 90.00°
Closest atoms and distances in Å follow each position.
Element x y z (fractional)
Ba  0.0000  0.0000  0.5000  12 Pd 3.16-3.31
Pr  0.0000  0.0000  0.0000  8 Pd 3.19
As  0.5000  0.5000  0.1628  4 Pd 2.46
As  0.5000  0.5000  0.8372  4 Pd 2.46
Pd  0.0000  0.5000  0.2527  2 As 2.46
Pd  0.5000  0.0000  0.2527  2 As 2.46
Pd  0.0000  0.5000  0.7473  2 As 2.46
Pd  0.5000  0.0000  0.7473  2 As 2.46
Pd  0.5000  0.5000  0.5000  2 As 2.90, 8 Pd 3.16

No. 2
The following is a DFT calculation (GGA-PBE) of a geometry-optimized SrZnCuF6 structure.

Results
Its space group is P312 (149). As for the uncorrected formation energy: -2.57 eV/atom. The density of states at the Fermi level comes out at 6.89 states/eV/cell.

Cell: 5.3894 5.3895 5.2438 Å, 90.02 89.98 59.94°
Closest atoms and distances in Å follow each position.
Element x y z (fractional)
Sr  0.0000  0.0000  0.0000  6 F 2.46
Zn  0.3334  0.3335  0.5000  6 F 2.06-2.07
Cu  0.6667  0.6667  0.5000  6 F 2.05
F  0.9981  0.3652  0.2845  1 Cu 2.05, 1 Zn 2.07
F  0.3651  0.9981  0.7155  1 Cu 2.05, 1 Zn 2.07
F  0.6366  0.3649  0.7158  1 Cu 2.05, 1 Zn 2.06
F  0.9984  0.6367  0.7159  1 Cu 2.05, 1 Zn 2.06
F  0.3648  0.6366  0.2842  1 Cu 2.05, 1 Zn 2.06
F  0.6366  0.9985  0.2841  1 Cu 2.05, 1 Zn 2.06

No. 3
The following is a DFT calculation (GGA-PBE) of a geometry-optimized Cs2ZnSI6 structure.

Results
Its space group is I4/mmm (139). As for the uncorrected formation energy: -0.69 eV/atom. The density of states at the Fermi level comes out at 0.00 states/eV/cell.

Cell: 8.5173 8.5173 8.5208 Å, 60.01 60.01 90.00°
Closest atoms and distances in Å follow each position.
Element x y z (fractional)
Cs  0.7500  0.2500  0.5000  12 I 4.27-4.29
Cs  0.2500  0.7500  0.5000  12 I 4.27-4.29
I  0.2078  0.2078  0.5844  1 Zn 2.50
I  0.7922  0.7922  0.4156  1 Zn 2.50
I  0.2736  0.2736  0.0000  1 S 2.73
I  0.7264  0.7264  0.0000  1 S 2.73
I  0.7264  0.2736  0.0000  1 S 2.73
I  0.2736  0.7264  0.0000  1 S 2.73
Zn  0.0000  0.0000  0.0000  2 I 2.50
S  0.5000  0.5000  0.0000  4 I 2.73

No. 4
The following is a DFT calculation (GGA-PBE) of a geometry-optimized Li6Pd2Rh structure.

Results
The energy of formation from the pure elements is -0.300 eV/atom. Its space group is C2/m (12). The density of states at the Fermi level comes out at 2.19 states/eV/cell.

Cell: 2.6397 7.8288 7.8288 Å, 56.23 70.44 70.44°
Closest atoms and distances in Å follow each position.
Element x y z (fractional)
Li  0.1699  0.0000  0.3310  5 Li 2.44-2.64
Li  0.8301  0.0000  0.6690  5 Li 2.44-2.64
Li  0.8301  0.6690  0.0000  5 Li 2.44-2.64
Li  0.5000  0.3310  0.6690  5 Li 2.44-2.64
Li  0.5000  0.6690  0.3310  5 Li 2.44-2.64
Li  0.1699  0.3310  0.0000  5 Li 2.44-2.64
Pd  0.3334  0.3333  0.3333  2 Pd 2.64, 12 Li 2.79-2.80
Pd  0.6667  0.6667  0.6667  2 Pd 2.64, 12 Li 2.79-2.80
Rh  0.0000  0.0000  0.0000  2 Rh 2.64, 12 Li 2.77-2.78

No. 5
The following is a DFT calculation (GGA-PBE) of a geometry-optimized PmHoZnPd structure.

Results
The energy of formation from the pure elements is -0.563 eV/atom. Its space group is F-43m (216). The density of states at the Fermi level comes out at 2.62 states/eV/cell.

Cell: 5.0611 5.0611 5.0611 Å, 60.00 60.00 60.00°
Closest atoms and distances in Å follow each position.
Element x y z (fractional)
Zn  0.0000  0.0000  0.0000  4 Ho 3.10, 4 Pm 3.10
Ho  0.7500  0.7500  0.7500  4 Pd 3.10, 4 Zn 3.10
Pd  0.5000  0.5000  0.5000  4 Pm 3.10, 4 Ho 3.10
Pm  0.2500  0.2500  0.2500  4 Zn 3.10, 4 Pd 3.10

No. 6
The following is a DFT calculation (GGA-PBE) of a geometry-optimized Dy2TmMg structure.

Results
The energy of formation from the pure elements is 0.038 eV/atom. Its space group is P4/mmm (123). The density of states at the Fermi level comes out at 5.39 states/eV/cell.

Cell: 3.9318 5.4397 5.4397 Å, 90.00 90.00 90.00°
Closest atoms and distances in Å follow each position.
Element x y z (fractional)
Mg  0.5000  0.0000  0.0000  8 Dy 3.36
Tm  0.5000  0.5000  0.5000  8 Dy 3.36
Dy  0.0000  0.0000  0.5000  4 Mg 3.36, 4 Tm 3.36
Dy  0.0000  0.5000  0.0000  4 Mg 3.36, 4 Tm 3.36

No. 7
The following is a DFT calculation (GGA-PBE) of a geometry-optimized HoCo2C structure.

Results
The energy of formation from the pure elements is -0.121 eV/atom. Its space group is Cmcm (63). The density of states at the Fermi level comes out at 4.40 states/eV/cell.

Cell: 3.6079 3.5411 7.9071 Å, 90.00 103.19 90.00°
Closest atoms and distances in Å follow each position.
Element x y z (fractional)
Ho  0.3949  0.2500  0.7898  8 Co 2.67-2.86, 4 C 2.78
Ho  0.6051  0.7500  0.2102  8 Co 2.67-2.86, 4 C 2.78
Co  0.7506  0.2500  0.5011  4 C 2.06-2.10
Co  0.2494  0.7500  0.4989  4 C 2.06-2.10
Co  0.0502  0.2500  0.1004  1 C 2.01
Co  0.9498  0.7500  0.8996  1 C 2.01
C  0.1810  0.2500  0.3620  5 Co 2.01-2.10
C  0.8190  0.7500  0.6380  5 Co 2.01-2.10

No. 8
The following is a DFT calculation (GGA-PBE) of a geometry-optimized Sr4ScTi3O12 structure.

Results
Its space group is Im-3m (229). As for the uncorrected formation energy: -3.06 eV/atom. The density of states at the Fermi level comes out at 10.04 states/eV/cell.

Cell: 6.9157 6.9157 6.9157 Å, 109.47 109.47 109.47°
Closest atoms and distances in Å follow each position.
Element x y z (fractional)
Sr  0.5000  0.5000  0.5000  12 O 2.82
Sr  0.0000  0.0000  0.5000  12 O 2.82
Sr  0.5000  0.0000  0.0000  12 O 2.82
Sr  0.0000  0.5000  0.0000  12 O 2.82
Sc  0.0000  0.0000  0.0000  6 O 2.07
Ti  0.5000  0.0000  0.5000  6 O 1.92-2.00
Ti  0.5000  0.5000  0.0000  6 O 1.92-2.00
Ti  0.0000  0.5000  0.5000  6 O 1.92-2.00
O  0.2500  0.5000  0.7500  2 Ti 2.00
O  0.7406  0.0000  0.7406  1 Ti 1.92, 1 Sc 2.07
O  0.2594  0.0000  0.2594  1 Ti 1.92, 1 Sc 2.07
O  0.7500  0.5000  0.2500  2 Ti 2.00
O  0.7406  0.7406  0.0000  1 Ti 1.92, 1 Sc 2.07
O  0.2594  0.2594  0.0000  1 Ti 1.92, 1 Sc 2.07
O  0.7500  0.2500  0.5000  2 Ti 2.00
O  0.2500  0.7500  0.5000  2 Ti 2.00
O  0.5000  0.2500  0.7500  2 Ti 2.00
O  0.0000  0.7406  0.7406  1 Ti 1.92, 1 Sc 2.07
O  0.5000  0.7500  0.2500  2 Ti 2.00
O  0.0000  0.2594  0.2594  1 Ti 1.92, 1 Sc 2.07

What did the third record say?
The following is a DFT calculation (GGA-PBE) of a geometry-optimized Cs2ZnSI6 structure.

Results
Its space group is I4/mmm (139). As for the uncorrected formation energy: -0.69 eV/atom. The density of states at the Fermi level comes out at 0.00 states/eV/cell.

Cell: 8.5173 8.5173 8.5208 Å, 60.01 60.01 90.00°
Closest atoms and distances in Å follow each position.
Element x y z (fractional)
Cs  0.7500  0.2500  0.5000  12 I 4.27-4.29
Cs  0.2500  0.7500  0.5000  12 I 4.27-4.29
I  0.2078  0.2078  0.5844  1 Zn 2.50
I  0.7922  0.7922  0.4156  1 Zn 2.50
I  0.2736  0.2736  0.0000  1 S 2.73
I  0.7264  0.7264  0.0000  1 S 2.73
I  0.7264  0.2736  0.0000  1 S 2.73
I  0.2736  0.7264  0.0000  1 S 2.73
Zn  0.0000  0.0000  0.0000  2 I 2.50
S  0.5000  0.5000  0.0000  4 I 2.73